Record 1
Compound: NaTl2O3
Source: Alexandria
Functional: GGA-PBE
Structure: relaxed

Values from the calculation:
Formation energy without anion corrections in kcal/mol of atoms: -16.91
Density of states at the Fermi level in states/eV/f.u.: 1.467
SG: Cmcm (63)
Uncorrected energy in Ry per atom: -0.3102

abc: 6.428 6.428 12.697
angles: 90.00 90.00 149.52
Sites, in units of the cell vectors:
Na: 0.109 0.891 0.750
Na: 0.891 0.109 0.250
Tl: 0.000 0.000 0.000
Tl: 0.000 0.000 0.500
Tl: 0.366 0.634 0.750
Tl: 0.634 0.366 0.250
O: 0.247 0.753 0.250
O: 0.495 0.505 0.623
O: 0.495 0.505 0.877
O: 0.505 0.495 0.123
O: 0.505 0.495 0.377
O: 0.753 0.247 0.750



Record 2
Compound: RbDyPdF6
Source: Alexandria
Functional: GGA-PBE
Structure: relaxed

Values from the calculation:
Formation energy without anion corrections in kcal/mol of atoms: -64.28
SG: Imma (74)
Uncorrected energy in Ry per atom: -0.3845

abc: 8.068 8.068 8.068
angles: 122.09 118.30 89.69
Sites, in units of the cell vectors:
Rb: 0.322 0.072 0.250
Rb: 0.678 0.928 0.750
Dy: 0.000 0.500 0.500
Dy: 0.500 0.500 0.000
Pd: 0.000 0.000 0.500
Pd: 0.000 0.500 0.000
F: 0.067 0.413 0.239
F: 0.067 0.828 0.653
F: 0.082 0.832 0.250
F: 0.316 0.566 0.750
F: 0.326 0.172 0.739
F: 0.326 0.587 0.153
F: 0.674 0.413 0.847
F: 0.674 0.828 0.261
F: 0.684 0.434 0.250
F: 0.918 0.168 0.750
F: 0.933 0.172 0.347
F: 0.933 0.587 0.761



Record 3
Compound: Tb2CuPd4
Source: Alexandria
Functional: GGA-PBE
Structure: relaxed

Values from the calculation:
Formation energy in eV/atom: -0.2617
Density of states at the Fermi level in states/eV/f.u.: 4.883
SG: I4/mmm (139)
Uncorrected energy in Ry per atom: -0.3776

abc: 4.632 4.632 14.142
angles: 90.00 90.00 90.00
Sites, in units of the cell vectors:
Tb: 0.000 0.000 0.136
Tb: 0.000 0.000 0.864
Tb: 0.500 0.500 0.364
Tb: 0.500 0.500 0.636
Cu: 0.000 0.000 0.500
Cu: 0.500 0.500 0.000
Pd: 0.000 0.000 0.327
Pd: 0.000 0.000 0.673
Pd: 0.000 0.500 0.000
Pd: 0.000 0.500 0.500
Pd: 0.500 0.000 0.000
Pd: 0.500 0.000 0.500
Pd: 0.500 0.500 0.173
Pd: 0.500 0.500 0.827



Record 4
Compound: Mg4Si7
Source: Alexandria
Functional: GGA-PBE
Structure: relaxed

Values from the calculation:
Formation energy without anion corrections in kcal/mol of atoms: 2.78
Density of states at the Fermi level in states/eV/f.u.: 3.468
SG: Pm (6)
Uncorrected energy in Ry per atom: -0.2874

abc: 6.595 3.918 15.243
angles: 90.00 99.09 90.00
Sites, in units of the cell vectors:
Mg: 0.000 0.000 0.000
Mg: 0.001 0.000 0.773
Mg: 0.229 0.000 0.239
Mg: 0.293 0.500 0.420
Mg: 0.354 0.500 0.086
Mg: 0.458 0.000 0.932
Mg: 0.698 0.000 0.162
Mg: 0.803 0.500 0.483
Si: 0.069 0.500 0.640
Si: 0.154 0.500 0.900
Si: 0.158 0.000 0.551
Si: 0.337 0.500 0.773
Si: 0.534 0.000 0.549
Si: 0.547 0.500 0.276
Si: 0.576 0.000 0.384
Si: 0.581 0.000 0.762
Si: 0.687 0.500 0.650
Si: 0.705 0.500 0.019
Si: 0.772 0.500 0.865
Si: 0.923 0.500 0.288
Si: 0.979 0.000 0.391
Si: 0.992 0.500 0.137



Record 5
Compound: Li2PmUTe4
Source: Alexandria
Functional: GGA-PBE
Structure: relaxed

Values from the calculation:
Formation energy without anion corrections in kcal/mol of atoms: -23.44
Density of states at the Fermi level in states/eV/f.u.: 8.629
SG: P2/m (10)
Uncorrected energy in Ry per atom: -0.3727

abc: 7.548 4.377 7.590
angles: 90.00 109.60 90.00
Sites, in units of the cell vectors:
Li: 0.000 0.000 0.000
Li: 0.000 0.500 0.500
Pm: 0.500 0.000 0.500
U: 0.500 0.500 0.000
Te: 0.238 0.500 0.242
Te: 0.240 0.000 0.750
Te: 0.760 0.000 0.250
Te: 0.762 0.500 0.758



Record 6
Compound: K7C6
Source: Alexandria
Functional: GGA-PBE
Structure: relaxed

Values from the calculation:
Formation energy in eV/atom: 1.0332
Density of states at the Fermi level in states/eV/f.u.: 3.981
SG: R-3m (166)
Uncorrected energy in Ry per atom: -0.2804

abc: 8.479 8.479 8.479
angles: 81.27 81.27 81.27
Sites, in units of the cell vectors:
K: 0.000 0.000 0.000
K: 0.160 0.160 0.502
K: 0.160 0.502 0.160
K: 0.498 0.840 0.840
K: 0.502 0.160 0.160
K: 0.840 0.498 0.840
K: 0.840 0.840 0.498
C: 0.165 0.165 0.165
C: 0.384 0.384 0.384
C: 0.459 0.459 0.459
C: 0.541 0.541 0.541
C: 0.616 0.616 0.616
C: 0.835 0.835 0.835



Record 7
Compound: Ta3TeS
Source: Alexandria
Functional: GGA-PBE
Structure: relaxed

Values from the calculation:
Formation energy without anion corrections in kcal/mol of atoms: 47.55
Density of states at the Fermi level in states/eV/f.u.: 4.420
SG: Pm-3m (221)
Uncorrected energy in Ry per atom: -0.4780

abc: 5.025 5.025 5.025
angles: 90.00 90.00 90.00
Sites, in units of the cell vectors:
Ta: 0.000 0.000 0.500
Ta: 0.000 0.500 0.000
Ta: 0.500 0.000 0.000
Te: 0.000 0.000 0.000
S: 0.500 0.500 0.500



Record 8
Compound: LiAgHgAu
Source: Alexandria
Functional: GGA-PBE
Structure: relaxed

Values from the calculation:
Formation energy in eV/atom: -0.2317
Density of states at the Fermi level in states/eV/f.u.: 1.158
SG: F-43m (216)
Uncorrected energy in Ry per atom: -0.1704

abc: 6.636 6.636 6.636
angles: 90.00 90.00 90.00
Sites, in units of the cell vectors:
Li: 0.000 0.000 0.000
Li: 0.000 0.500 0.500
Li: 0.500 0.000 0.500
Li: 0.500 0.500 0.000
Ag: 0.000 0.000 0.500
Ag: 0.000 0.500 0.000
Ag: 0.500 0.000 0.000
Ag: 0.500 0.500 0.500
Hg: 0.250 0.250 0.250
Hg: 0.250 0.750 0.750
Hg: 0.750 0.250 0.750
Hg: 0.750 0.750 0.250
Au: 0.250 0.250 0.750
Au: 0.250 0.750 0.250
Au: 0.750 0.250 0.250
Au: 0.750 0.750 0.750



Record 9
Compound: LaBeGe3
Source: Alexandria
Functional: GGA-PBE
Structure: relaxed

Values from the calculation:
Formation energy in eV/atom: -0.3021
Density of states at the Fermi level in states/eV/f.u.: 1.331
SG: P1 (1)
Uncorrected energy in Ry per atom: -0.3530

abc: 3.988 5.986 9.136
angles: 77.88 89.97 70.69
Sites, in units of the cell vectors:
La: 0.000 0.000 0.000
La: 0.386 0.220 0.381
Be: 0.687 0.614 0.514
Be: 0.695 0.608 0.961
Ge: 0.096 0.801 0.369
Ge: 0.248 0.465 0.737
Ge: 0.296 0.408 0.024
Ge: 0.564 0.867 0.714
Ge: 0.679 0.637 0.224
Ge: 0.898 0.192 0.651



Record 10
Compound: Hf2AlCd2
Source: Alexandria
Functional: GGA-PBE
Structure: relaxed

Values from the calculation:
Formation energy in eV/atom: 0.5178
Density of states at the Fermi level in states/eV/f.u.: 4.189
SG: I4/mmm (139)
Uncorrected energy in Ry per atom: -0.3365

abc: 3.960 3.960 15.132
angles: 90.00 90.00 90.00
Sites, in units of the cell vectors:
Hf: 0.000 0.500 0.250
Hf: 0.000 0.500 0.750
Hf: 0.500 0.000 0.250
Hf: 0.500 0.000 0.750
Al: 0.000 0.000 0.000
Al: 0.500 0.500 0.500
Cd: 0.000 0.000 0.408
Cd: 0.000 0.000 0.592
Cd: 0.500 0.500 0.092
Cd: 0.500 0.500 0.908



Record 11
Compound: Ni2CS
Source: Alexandria
Functional: GGA-PBE
Structure: relaxed

Values from the calculation:
Formation energy without anion corrections in kcal/mol of atoms: 2.88
Density of states at the Fermi level in states/eV/f.u.: 2.762
SG: P-1 (2)
Uncorrected energy in Ry per atom: -0.4486

abc: 3.841 5.140 5.864
angles: 115.59 102.27 90.10
Sites, in units of the cell vectors:
Ni: 0.005 0.263 0.015
Ni: 0.295 0.163 0.402
Ni: 0.705 0.837 0.598
Ni: 0.995 0.737 0.985
C: 0.381 0.035 0.073
C: 0.619 0.965 0.927
S: 0.140 0.691 0.358
S: 0.860 0.309 0.642



Record 12
Compound: Pr6PIr2I3
Source: Alexandria
Functional: GGA-PBE
Structure: relaxed

Values from the calculation:
Formation energy without anion corrections in kcal/mol of atoms: -24.48
Density of states at the Fermi level in states/eV/f.u.: 2.399
SG: C2/m (12)
Uncorrected energy in Ry per atom: -0.4238

abc: 7.409 7.409 8.440
angles: 98.35 98.35 119.96
Sites, in units of the cell vectors:
Pr: 0.096 0.438 0.813
Pr: 0.220 0.220 0.187
Pr: 0.438 0.096 0.813
Pr: 0.562 0.904 0.187
Pr: 0.780 0.780 0.813
Pr: 0.904 0.562 0.187
P: 0.500 0.500 0.000
Ir: 0.167 0.833 0.000
Ir: 0.833 0.167 0.000
I: 0.000 0.000 0.500
I: 0.336 0.664 0.500
I: 0.664 0.336 0.500



Record 13
Compound: YMo
Source: Alexandria
Functional: GGA-PBE
Structure: relaxed

Values from the calculation:
Formation energy in eV/atom: 0.4092
Density of states at the Fermi level in states/eV/f.u.: 1.539
SG: Pmma (51)
Uncorrected energy in Ry per atom: -0.6055

abc: 4.327 3.274 6.671
angles: 90.00 90.00 90.00
Sites, in units of the cell vectors:
Y: 0.250 0.000 0.187
Y: 0.750 0.000 0.813
Mo: 0.250 0.500 0.593
Mo: 0.750 0.500 0.407



Record 14
Compound: Co2Re
Source: Alexandria
Functional: GGA-PBE
Structure: relaxed

Values from the calculation:
Formation energy in eV/atom: 0.1810
Density of states at the Fermi level in states/eV/f.u.: 4.497
SG: P-3m1 (164)
Uncorrected energy in Ry per atom: -0.6399

abc: 2.637 2.637 6.228
angles: 90.00 90.00 120.00
Sites, in units of the cell vectors:
Co: 0.333 0.667 0.158
Co: 0.667 0.333 0.842
Re: 0.000 0.000 0.500



Record 15
Compound: AlCuRu2
Source: Alexandria
Functional: GGA-PBE
Structure: relaxed

Values from the calculation:
Formation energy in eV/atom: -0.1172
Density of states at the Fermi level in states/eV/f.u.: 3.982
SG: Imm2 (44)
Uncorrected energy in Ry per atom: -0.4935

abc: 2.975 4.224 8.536
angles: 90.00 90.00 90.00
Sites, in units of the cell vectors:
Al: 0.000 0.000 0.000
Al: 0.500 0.500 0.500
Cu: 0.000 0.500 0.737
Cu: 0.500 0.000 0.237
Ru: 0.000 0.000 0.498
Ru: 0.000 0.500 0.252
Ru: 0.500 0.000 0.752
Ru: 0.500 0.500 0.998



Record 16
Compound: Cs2PuMg3H12
Source: Alexandria
Functional: GGA-PBE
Structure: relaxed

Values from the calculation:
SG: R-3m (166)
Uncorrected energy in Ry per atom: -0.2647

abc: 6.522 6.522 6.522
angles: 71.84 71.84 71.84
Sites, in units of the cell vectors:
Cs: 0.119 0.119 0.119
Cs: 0.881 0.881 0.881
Pu: 0.500 0.500 0.500
Mg: 0.000 0.500 0.500
Mg: 0.500 0.000 0.500
Mg: 0.500 0.500 0.000
H: 0.148 0.620 0.620
H: 0.256 0.256 0.583
H: 0.256 0.583 0.256
H: 0.380 0.380 0.852
H: 0.380 0.852 0.380
H: 0.417 0.744 0.744
H: 0.583 0.256 0.256
H: 0.620 0.148 0.620
H: 0.620 0.620 0.148
H: 0.744 0.417 0.744
H: 0.744 0.744 0.417
H: 0.852 0.380 0.380



Record 17
Compound: CeZrBe
Source: Alexandria
Functional: GGA-PBE
Structure: relaxed

Values from the calculation:
Formation energy in eV/atom: 0.1023
Density of states at the Fermi level in states/eV/f.u.: 4.241
SG: I4mm (107)
Uncorrected energy in Ry per atom: -0.4386

abc: 3.042 3.042 12.963
angles: 90.00 90.00 90.00
Sites, in units of the cell vectors:
Ce: 0.000 0.000 0.000
Ce: 0.500 0.500 0.500
Zr: 0.000 0.000 0.283
Zr: 0.500 0.500 0.783
Be: 0.000 0.000 0.655
Be: 0.500 0.500 0.155



Record 18
Compound: CeNdAl4
Source: Alexandria
Functional: GGA-PBE
Structure: relaxed

Values from the calculation:
Formation energy in eV/atom: -0.4628
Density of states at the Fermi level in states/eV/f.u.: 8.231
SG: F-43m (216)
Uncorrected energy in Ry per atom: -0.3485

abc: 5.662 5.662 5.662
angles: 60.00 60.00 60.00
Sites, in units of the cell vectors:
Ce: 0.000 0.000 0.000
Nd: 0.750 0.750 0.750
Al: 0.374 0.374 0.374
Al: 0.374 0.374 0.877
Al: 0.374 0.877 0.374
Al: 0.877 0.374 0.374



Record 19
Compound: SiPRu2
Source: Alexandria
Functional: GGA-PBE
Structure: relaxed

Values from the calculation:
Formation energy without anion corrections in kcal/mol of atoms: -10.95
Density of states at the Fermi level in states/eV/f.u.: 1.443
SG: Imm2 (44)
Uncorrected energy in Ry per atom: -0.5748

abc: 2.939 3.489 10.766
angles: 90.00 90.00 90.00
Sites, in units of the cell vectors:
Si: 0.000 0.000 0.000
Si: 0.500 0.500 0.500
P: 0.000 0.500 0.741
P: 0.500 0.000 0.241
Ru: 0.000 0.000 0.411
Ru: 0.000 0.500 0.165
Ru: 0.500 0.000 0.665
Ru: 0.500 0.500 0.911



Record 20
Compound: BaAg6O4
Source: Alexandria
Functional: GGA-PBE
Structure: relaxed

Values from the calculation:
Formation energy without anion corrections in kcal/mol of atoms: -13.14
SG: Pnna (52)
Uncorrected energy in Ry per atom: -0.3016

abc: 6.792 12.997 9.253
angles: 90.00 90.00 90.00
Sites, in units of the cell vectors:
Ba: 0.250 0.000 0.124
Ba: 0.250 0.500 0.376
Ba: 0.750 0.000 0.876
Ba: 0.750 0.500 0.624
Ag: 0.000 0.000 0.500
Ag: 0.000 0.500 0.000
Ag: 0.073 0.236 0.461
Ag: 0.073 0.264 0.039
Ag: 0.091 0.750 0.250
Ag: 0.212 0.626 0.735
Ag: 0.212 0.874 0.765
Ag: 0.288 0.126 0.765
Ag: 0.288 0.374 0.735
Ag: 0.409 0.250 0.250
Ag: 0.427 0.736 0.039
Ag: 0.427 0.764 0.461
Ag: 0.500 0.000 0.500
Ag: 0.500 0.500 0.000
Ag: 0.573 0.236 0.539
Ag: 0.573 0.264 0.961
Ag: 0.591 0.750 0.750
Ag: 0.712 0.626 0.265
Ag: 0.712 0.874 0.235
Ag: 0.788 0.126 0.235
Ag: 0.788 0.374 0.265
Ag: 0.909 0.250 0.750
Ag: 0.927 0.736 0.961
Ag: 0.927 0.764 0.539
O: 0.047 0.129 0.912
O: 0.047 0.371 0.588
O: 0.070 0.104 0.332
O: 0.070 0.396 0.168
O: 0.430 0.604 0.168
O: 0.430 0.896 0.332
O: 0.453 0.629 0.588
O: 0.453 0.871 0.912
O: 0.547 0.129 0.088
O: 0.547 0.371 0.412
O: 0.570 0.104 0.668
O: 0.570 0.396 0.832
O: 0.930 0.604 0.832
O: 0.930 0.896 0.668
O: 0.953 0.629 0.412
O: 0.953 0.871 0.088